Record 1
# KTeAu | OQMD | PBE | relaxed
data_KTeAu
_chemical_formula_sum 'K3 Te3 Au3'
_cell_length_a 7.9908
_cell_length_b 7.9908
_cell_length_c 4.8207
_cell_angle_alpha 90.00
_cell_angle_beta 90.00
_cell_angle_gamma 120.00
_symmetry_space_group_name_H-M 'P -6 2 m'
_symmetry_Int_Tables_number 189
_symmetry_space_group_name_Hall 'P -6 -2'
loop_
_atom_site_label
_atom_site_fract_x
_atom_site_fract_y
_atom_site_fract_z
_atom_site_occupancy
K1 0.0000 0.6067 0.0000 1
Te1 0.0000 0.2905 0.5000 1
Au1 0.0000 0.0000 0.0000 1
Au2 0.3333 0.6667 0.5000 1
# VASP energy = -26.74 eV for the cell shown

Record 2
# KTeAu | OQMD | PBE | relaxed
data_KTeAu
_chemical_formula_sum 'K2 Te2 Au2'
_cell_length_a 4.7587
_cell_length_b 4.7587
_cell_length_c 10.0116
_cell_angle_alpha 90.00
_cell_angle_beta 90.00
_cell_angle_gamma 120.00
_symmetry_space_group_name_H-M 'P 63/m m c'
_symmetry_Int_Tables_number 194
_symmetry_space_group_name_Hall '-P 6c 2c'
loop_
_atom_site_label
_atom_site_fract_x
_atom_site_fract_y
_atom_site_fract_z
_atom_site_occupancy
K1 0.0000 0.0000 0.0000 1
Te1 0.3333 0.6667 0.2500 1
Au1 0.3333 0.6667 0.7500 1
# VASP energy = -19.14 eV for the cell shown

Record 3
# KTlTe2Au2 | OQMD | PBE | relaxed
data_KTlTe2Au2
_chemical_formula_sum 'K1 Tl1 Te2 Au2'
_cell_length_a 4.7484
_cell_length_b 4.7484
_cell_length_c 9.7770
_cell_angle_alpha 90.00
_cell_angle_beta 90.00
_cell_angle_gamma 120.00
_symmetry_space_group_name_H-M 'P -3 m 1'
_symmetry_Int_Tables_number 164
_symmetry_space_group_name_Hall '-P 3 2"'
loop_
_atom_site_label
_atom_site_fract_x
_atom_site_fract_y
_atom_site_fract_z
_atom_site_occupancy
K1 0.0000 0.0000 0.0000 1
Tl1 0.0000 0.0000 0.5000 1
Te1 0.3333 0.6667 0.2515 1
Au1 0.3333 0.6667 0.7457 1
# VASP energy = -18.99 eV for the cell shown

Record 4
# KTmTe3Au | OQMD | PBE | relaxed
data_KTmTe3Au
_chemical_formula_sum 'K4 Tm4 Te12 Au4'
_cell_length_a 16.517
_cell_length_b 4.257
_cell_length_c 11.414
_cell_angle_alpha 90.00
_cell_angle_beta 90.00
_cell_angle_gamma 90.00
_symmetry_space_group_name_H-M 'P n m a'
_symmetry_Int_Tables_number 62
loop_
_symmetry_equiv_pos_as_xyz
'x,y,z'
'-x,-y,-z'
'-x+1/2,-y,z+1/2'
'x+1/2,y,-z+1/2'
'x+1/2,-y+1/2,-z+1/2'
'-x+1/2,y+1/2,z+1/2'
'-x,y+1/2,-z'
'x,-y+1/2,z'
loop_
_atom_site_label
_atom_site_fract_x
_atom_site_fract_y
_atom_site_fract_z
_atom_site_occupancy
K1 0.229 0.250 0.046 1
Tm1 0.020 0.250 0.338 1
Te1 0.094 0.750 0.874 1
Te2 0.101 0.250 0.577 1
Te3 0.142 0.750 0.262 1
Au1 0.017 0.750 0.102 1
# VASP energy = -94.41 eV for the cell shown

Record 5
# KTmTe3Au | OQMD | PBE | relaxed
data_KTmTe3Au
_chemical_formula_sum 'K4 Tm4 Te12 Au4'
_cell_length_a 4.226
_cell_length_b 16.632
_cell_length_c 11.189
_cell_angle_alpha 90.00
_cell_angle_beta 90.00
_cell_angle_gamma 90.00
_symmetry_space_group_name_H-M 'C m c m'
_symmetry_Int_Tables_number 63
_symmetry_space_group_name_Hall '-C 2c 2'
loop_
_atom_site_label
_atom_site_fract_x
_atom_site_fract_y
_atom_site_fract_z
_atom_site_occupancy
K1 0.000 0.238 0.250 1
Tm1 0.000 0.000 0.000 1
Te1 0.000 0.079 0.750 1
Te2 0.000 0.372 0.549 1
Au1 0.000 0.468 0.750 1
# VASP energy = -94.67 eV for the cell shown

Record 6
# KTe4WAu3 | OQMD | PBE | relaxed
data_KTe4WAu3
_chemical_formula_sum 'K1 Te4 W1 Au3'
_cell_length_a 6.804
_cell_length_b 6.804
_cell_length_c 6.804
_cell_angle_alpha 90.00
_cell_angle_beta 90.00
_cell_angle_gamma 90.00
_symmetry_space_group_name_H-M 'P -4 3 m'
_symmetry_Int_Tables_number 215
_symmetry_space_group_name_Hall 'P -4 2 3'
loop_
_atom_site_label
_atom_site_fract_x
_atom_site_fract_y
_atom_site_fract_z
_atom_site_occupancy
K1 0.000 0.000 0.000 1
Te1 0.278 0.278 0.278 1
W1 0.500 0.500 0.500 1
Au1 0.000 0.500 0.500 1
# VASP energy = -36.36 eV for the cell shown

Record 7
# KTe3WAu | OQMD | PBE | relaxed
data_KTe3WAu
_chemical_formula_sum 'K4 Te12 W4 Au4'
_cell_length_a 4.145
_cell_length_b 15.880
_cell_length_c 10.929
_cell_angle_alpha 90.00
_cell_angle_beta 90.00
_cell_angle_gamma 90.00
_symmetry_space_group_name_H-M 'C m c m'
_symmetry_Int_Tables_number 63
_symmetry_space_group_name_Hall '-C 2c 2'
loop_
_atom_site_label
_atom_site_fract_x
_atom_site_fract_y
_atom_site_fract_z
_atom_site_occupancy
K1 0.000 0.234 0.250 1
Te1 0.000 0.068 0.750 1
Te2 0.000 0.380 0.525 1
W1 0.000 0.000 0.000 1
Au1 0.000 0.447 0.750 1
# VASP energy = -108.44 eV for the cell shown

Record 8
# KZrTe4Au3 | OQMD | PBE | relaxed
data_KZrTe4Au3
_chemical_formula_sum 'K2 Zr2 Te8 Au6'
_cell_length_a 6.669
_cell_length_b 8.413
_cell_length_c 10.756
_cell_angle_alpha 90.00
_cell_angle_beta 105.65
_cell_angle_gamma 90.00
_symmetry_space_group_name_H-M 'P 1 21/m 1'
_symmetry_Int_Tables_number 11
loop_
_symmetry_equiv_pos_as_xyz
'x,y,z'
'-x,-y,-z'
'-x,y+1/2,-z'
'x,-y+1/2,z'
loop_
_atom_site_label
_atom_site_fract_x
_atom_site_fract_y
_atom_site_fract_z
_atom_site_occupancy
K1 0.199 0.250 0.403 1
Zr1 0.346 0.750 0.205 1
Te1 0.028 0.750 0.967 1
Te2 0.193 0.750 0.418 1
Te3 0.392 0.517 0.757 1
Au1 0.150 0.250 0.797 1
Au2 0.295 0.030 0.013 1
# VASP energy = -72.88 eV for the cell shown
# Energy above the lowest structure with this stoichiometry = 0.00 eV per formula unit

Record 9
# KZrTe4Au3 | OQMD | PBE | relaxed
data_KZrTe4Au3
_chemical_formula_sum 'K1 Zr1 Te4 Au3'
_cell_length_a 6.794
_cell_length_b 6.794
_cell_length_c 6.794
_cell_angle_alpha 90.00
_cell_angle_beta 90.00
_cell_angle_gamma 90.00
_symmetry_space_group_name_H-M 'P -4 3 m'
_symmetry_Int_Tables_number 215
_symmetry_space_group_name_Hall 'P -4 2 3'
loop_
_atom_site_label
_atom_site_fract_x
_atom_site_fract_y
_atom_site_fract_z
_atom_site_occupancy
K1 0.000 0.000 0.000 1
Zr1 0.500 0.500 0.500 1
Te1 0.268 0.268 0.268 1
Au1 0.000 0.500 0.500 1
# VASP energy = -36.38 eV for the cell shown
# Energy above the lowest structure with this stoichiometry = 0.06 eV per formula unit

Record 10
# KTlAu | OQMD | PBE | relaxed
data_KTlAu
_chemical_formula_sum 'K4 Tl4 Au4'
_cell_length_a 7.471
_cell_length_b 7.471
_cell_length_c 7.471
_cell_angle_alpha 90.00
_cell_angle_beta 90.00
_cell_angle_gamma 90.00
_symmetry_space_group_name_H-M 'F -4 3 m'
_symmetry_Int_Tables_number 216
_symmetry_space_group_name_Hall 'F -4 2 3'
loop_
_atom_site_label
_atom_site_fract_x
_atom_site_fract_y
_atom_site_fract_z
_atom_site_occupancy
K1 0.000 0.000 0.000 1
Tl1 0.000 0.000 0.500 1
Au1 0.250 0.250 0.250 1
# VASP energy = -28.31 eV for the cell shown

Record 11
# KTlAu | OQMD | PBE | relaxed
data_KTlAu
_chemical_formula_sum 'K4 Tl4 Au4'
_cell_length_a 7.639
_cell_length_b 7.639
_cell_length_c 7.639
_cell_angle_alpha 90.00
_cell_angle_beta 90.00
_cell_angle_gamma 90.00
_symmetry_space_group_name_H-M 'F -4 3 m'
_symmetry_Int_Tables_number 216
_symmetry_space_group_name_Hall 'F -4 2 3'
loop_
_atom_site_label
_atom_site_fract_x
_atom_site_fract_y
_atom_site_fract_z
_atom_site_occupancy
K1 0.000 0.000 0.000 1
Tl1 0.250 0.250 0.250 1
Au1 0.250 0.250 0.750 1
# VASP energy = -24.93 eV for the cell shown

Record 12
# KTl2Au2 | OQMD | PBE | relaxed
data_KTl2Au2
_chemical_formula_sum 'K2 Tl4 Au4'
_cell_length_a 4.970
_cell_length_b 4.970
_cell_length_c 12.096
_cell_angle_alpha 90.00
_cell_angle_beta 90.00
_cell_angle_gamma 90.00
_symmetry_space_group_name_H-M 'I 4/m m m'
_symmetry_Int_Tables_number 139
_symmetry_space_group_name_Hall '-I 4 2'
loop_
_atom_site_label
_atom_site_fract_x
_atom_site_fract_y
_atom_site_fract_z
_atom_site_occupancy
K1 0.000 0.000 0.000 1
Tl1 0.000 0.500 0.250 1
Au1 0.000 0.000 0.387 1
# VASP energy = -26.57 eV for the cell shown